1.
RbCd2Si2 (PBE, optimized geometry); density of states at the Fermi level = 3.6 states/eV/cell; magnetic moment = 0.0 Bohr magnetons per cell; final energy = -23.8 eV/cell; energy above the lowest structure with this stoichiometry = 269 meV per atom; energy relative to the elements, uncorrected = 0.35 eV/atom
1.0
-6.210 1.077 -6.157
-3.332 -7.914 1.976
-1.841 1.295 2.084
Cd Si Rb
4 4 2
direct
0.641 0.859 0.500 Cd
0.859 0.359 0.500 Cd
0.359 0.141 0.500 Cd
0.141 0.641 0.500 Cd
0.645 0.145 0.000 Si
0.145 0.355 0.000 Si
0.355 0.855 0.000 Si
0.855 0.645 0.000 Si
0.000 0.000 0.000 Rb
0.500 0.500 0.000 Rb

---

2.
AcNdAgPt (PBE, optimized geometry); density of states at the Fermi level = 3.1 states/eV/cell; magnetic moment = 0.0 Bohr magnetons per cell; final energy = -20.2 eV/cell
1.0
-4.243 -2.599 -1.916
-0.290 -1.165 -5.195
0.481 -5.054 -1.630
Ag Pt Ac Nd
1 1 1 1
direct
0.250 0.250 0.250 Ag
0.750 0.750 0.750 Pt
0.500 0.500 0.500 Ac
0.000 0.000 0.000 Nd

---

3.
ScTa2 (PBE, optimized geometry); density of states at the Fermi level = 5.4 states/eV/cell; magnetic moment = 0.0 Bohr magnetons per cell; final energy = -55.8 eV/cell; energy above the lowest structure with this stoichiometry = 549 meV per atom
1.0
-1.880 1.880 9.017
1.880 -1.880 9.017
1.880 1.880 -9.017
Ta Sc
4 2
direct
0.324 0.824 0.500 Ta
0.426 0.426 0.000 Ta
0.176 0.676 0.500 Ta
0.574 0.574 0.000 Ta
0.750 0.250 0.500 Sc
0.000 0.000 0.000 Sc

---

4.
InIrRu2 (PBE, optimized geometry); density of states at the Fermi level = 4.7 states/eV/cell; magnetic moment = 0.0 Bohr magnetons per cell; final energy = -29.5 eV/cell
1.0
4.793 -0.003 0.007
3.954 2.708 0.007
0.839 0.260 4.822
Ru In Ir
2 1 1
direct
0.992 0.992 0.027 Ru
0.508 0.508 0.473 Ru
0.750 0.750 0.750 In
0.250 0.250 0.250 Ir

---

5.
YPu2O (PBE, optimized geometry); density of states at the Fermi level = 13.9 states/eV/cell; magnetic moment = 12.5 Bohr magnetons per cell; final energy = -43.5 eV/cell; energy relative to the elements, uncorrected = -0.87 eV/atom
1.0
3.450 0.000 0.000
1.725 2.988 0.000
1.725 0.996 9.568
Y Pu O
1 2 1
direct
0.000 0.000 0.000 Y
0.116 0.116 0.652 Pu
0.884 0.884 0.348 Pu
0.500 0.500 0.500 O

---

6.
TlInBr6 (PBE, optimized geometry); magnetic moment = 0.0 Bohr magnetons per cell; final energy = -19.5 eV/cell; energy above the lowest structure with this stoichiometry = 3 meV per atom; energy relative to the elements, uncorrected = -0.55 eV/atom
1.0
6.936 0.010 0.005
3.460 6.012 0.009
3.462 2.001 6.219
Br Tl In
6 1 1
direct
0.923 0.589 0.244 Br
0.589 0.244 0.244 Br
0.756 0.077 0.756 Br
0.411 0.756 0.756 Br
0.244 0.923 0.244 Br
0.077 0.411 0.756 Br
0.500 0.500 0.500 Tl
0.000 0.000 0.000 In

---

7.
Mg2CrRe (PBE, optimized geometry); density of states at the Fermi level = 2.8 states/eV/cell; magnetic moment = 1.1 Bohr magnetons per cell; final energy = -23.6 eV/cell; energy above the lowest structure with this stoichiometry = 264 meV per atom
1.0
-1.218 -3.458 -2.760
1.701 -1.610 1.267
-2.885 -2.067 3.863
Re Cr Mg
1 1 2
direct
0.500 0.250 0.250 Re
0.500 0.750 0.750 Cr
0.000 0.980 0.000 Mg
0.000 0.520 0.500 Mg

---

8.
KAs2Au (PBE, optimized geometry); density of states at the Fermi level = 1.2 states/eV/cell; magnetic moment = 0.0 Bohr magnetons per cell; final energy = -14.1 eV/cell; energy above the lowest structure with this stoichiometry = 43 meV per atom
1.0
7.474 0.004 0.002
6.333 3.968 0.002
6.333 1.822 3.525
Au K As
1 1 2
direct
0.250 0.250 0.250 Au
0.750 0.750 0.750 K
0.970 0.970 0.970 As
0.530 0.530 0.530 As